Computed, not measured: VNiCl2F after structural relaxation at the PBE+U level of DFT.

Lattice parameters (Å, degrees): 4.390 4.390 5.341 90.00 90.00 90.00
Fractional positions:
1 V 0.000 0.000 0.000
2 Ni 0.000 0.000 0.500
3 Cl 0.000 0.500 0.500
4 Cl 0.500 0.000 0.500
5 F 0.500 0.500 0.000

Computed properties:
total magnetization: 4.0 μB per cell
space group: P4/mmm
crystal system: tetragonal
V: 20.58 A^3/atom
VASP energy: -16.3 eV for the cell shown